! AlRe2Rh (PBE, relaxed); values from VASP
&SYSTEM
  ibrav = 0, nat = 4, ntyp = 3
/
ATOMIC_SPECIES
Re 186.21 Re.upf
Rh 102.91 Rh.upf
Al 26.98 Al.upf
CELL_PARAMETERS angstrom
8.750 -0.017 -0.010
8.306 2.751 -0.010
8.306 1.331 2.408
ATOMIC_POSITIONS angstrom
Re 25.358 4.065 2.387
Re 6.354 1.019 0.598
Rh 12.614 2.022 1.187
Al 19.078 3.058 1.796
! uncorrected energy: -36.83 eV for the cell shown
! total moment: 0.00 Bohr magnetons per cell
! formation energy from the elements: -209 meV/atom